Compound: ErV2HgO8
Source: the Alexandria database
Functional: PBE with a Hubbard U
Structure: relaxed Values from VASP.

Uncorrected energy, eV/atom: -6.77
Total magnetization, μB per formula unit: 1.1
N(E_F), states/eV per atom: 0.83

```
&SYSTEM
  ibrav = 0, nat = 12, ntyp = 4
/
ATOMIC_SPECIES
Er 167.26 Er.upf
V 50.94 V.upf
Hg 200.59 Hg.upf
O 16.00 O.upf
CELL_PARAMETERS angstrom
-3.6140 3.6140 3.2257
3.6140 -3.6140 3.2257
3.6140 3.6140 -3.2257
ATOMIC_POSITIONS angstrom
Er 0.0000 0.0000 0.0000
V 0.0000 0.0000 3.2257
V 0.0000 3.6140 1.6129
Hg 3.6140 0.0000 1.6129
O 2.3031 3.6140 -1.1533
O 1.3108 0.0000 2.0724
O 0.0000 2.1962 0.6035
O 3.6140 2.3031 1.1533
O 0.0000 5.0317 0.6035
O 0.0000 1.3108 4.3790
O -1.4178 3.6140 2.6222
O 1.4178 3.6140 2.6222
```